No. 1
# AcEuMgBi (PBE, relaxed)
# energy of formation = -391 meV per atom
# total magnetization = 2.03 μB/atom
# mass density = 7.4 g/cm³
# volume = 34.5 Å³ per atom
data_AcEuMgBi
_chemical_formula_sum 'Ac4 Eu4 Mg4 Bi4'
_cell_length_a 8.199
_cell_length_b 8.199
_cell_length_c 8.199
_cell_angle_alpha 90.00
_cell_angle_beta 90.00
_cell_angle_gamma 90.00
_symmetry_space_group_name_H-M 'F -4 3 m'
_symmetry_Int_Tables_number 216
_symmetry_space_group_name_Hall 'F -4 2 3'
loop_
_atom_site_label
_atom_site_fract_x
_atom_site_fract_y
_atom_site_fract_z
Ac1 0.000 0.000 0.000
Eu1 0.000 0.000 0.500
Mg1 0.250 0.250 0.250
Bi1 0.250 0.250 0.750

No. 2
# NaBiN2 (PBE, relaxed)
# uncorrected formation energy = 290 kJ/mol of formula units
# total magnetization = 0.00 μB/atom
# mass density = 6.1 g/cm³
# volume = 17.6 Å³ per atom
data_NaBiN2
_chemical_formula_sum 'Na3 Bi3 N6'
_cell_length_a 3.4424
_cell_length_b 3.4424
_cell_length_c 20.6176
_cell_angle_alpha 90.00
_cell_angle_beta 90.00
_cell_angle_gamma 120.00
_symmetry_space_group_name_H-M 'R -3 m'
_symmetry_Int_Tables_number 166
_symmetry_space_group_name_Hall '-R 3 2"'
loop_
_atom_site_label
_atom_site_fract_x
_atom_site_fract_y
_atom_site_fract_z
Na1 0.0000 0.0000 0.0000
Bi1 0.0000 0.0000 0.5000
N1 0.0000 0.0000 0.1094

No. 3
# Ti2AuF (PBE, relaxed)
# uncorrected formation energy = -265 kJ/mol of formula units
# energy above the most stable polymorph in this dataset = 0 meV per atom
# total magnetization = 0.00 μB/atom
# mass density = 7.2 g/cm³
# volume = 17.9 Å³ per atom
data_Ti2AuF
_chemical_formula_sum 'Ti8 Au4 F4'
_cell_length_a 4.836
_cell_length_b 4.836
_cell_length_c 12.225
_cell_angle_alpha 90.00
_cell_angle_beta 90.00
_cell_angle_gamma 90.00
_symmetry_space_group_name_H-M 'I -4 2 d'
_symmetry_Int_Tables_number 122
_symmetry_space_group_name_Hall 'I -4 2bw'
loop_
_atom_site_label
_atom_site_fract_x
_atom_site_fract_y
_atom_site_fract_z
Ti1 0.144 0.250 0.125
Au1 0.000 0.000 0.500
F1 0.000 0.000 0.000

No. 4
# BeCoHRu2 (PBE, relaxed)
# uncorrected energy = -6.412 eV per atom
# total magnetization = 0.33 μB/atom
# mass density = 8.9 g/cm³
# volume = 10.1 Å³ per atom
data_BeCoHRu2
_chemical_formula_sum 'Be1 Co1 H1 Ru2'
_cell_length_a 3.917
_cell_length_b 3.917
_cell_length_c 3.291
_cell_angle_alpha 90.00
_cell_angle_beta 90.00
_cell_angle_gamma 90.00
_symmetry_space_group_name_H-M 'P 4/m m m'
_symmetry_Int_Tables_number 123
_symmetry_space_group_name_Hall '-P 4 2'
loop_
_atom_site_label
_atom_site_fract_x
_atom_site_fract_y
_atom_site_fract_z
Be1 0.000 0.000 0.000
Co1 0.500 0.500 0.000
H1 0.500 0.500 0.500
Ru1 0.000 0.500 0.500

No. 5
# HfCdInHg (PBE, relaxed)
# energy of formation = -58 meV per atom
# total magnetization = 0.00 μB/atom
# mass density = 11.7 g/cm³
# volume = 21.5 Å³ per atom
data_HfCdInHg
_chemical_formula_sum 'Hf1 Cd1 In1 Hg1'
_cell_length_a 4.344
_cell_length_b 4.400
_cell_length_c 4.494
_cell_angle_alpha 90.00
_cell_angle_beta 90.00
_cell_angle_gamma 90.00
_symmetry_space_group_name_H-M 'P m m m'
_symmetry_Int_Tables_number 47
loop_
_symmetry_equiv_pos_as_xyz
'x,y,z'
'-x,-y,-z'
'-x,-y,z'
'x,y,-z'
'x,-y,-z'
'-x,y,z'
'-x,y,-z'
'x,-y,z'
loop_
_atom_site_label
_atom_site_fract_x
_atom_site_fract_y
_atom_site_fract_z
Hf1 0.000 0.000 0.000
Cd1 0.000 0.500 0.500
In1 0.500 0.500 0.000
Hg1 0.500 0.000 0.500

No. 6
# Dy6Pd5Au (PBE, relaxed)
# energy above the most stable polymorph in this dataset = 133 meV per atom
# energy of formation = -744 meV per atom
# total magnetization = 0.00 μB/atom
# mass density = 9.7 g/cm³
# volume = 24.3 Å³ per atom
data_Dy6Pd5Au
_chemical_formula_sum 'Dy12 Pd10 Au2'
_cell_length_a 7.162
_cell_length_b 12.139
_cell_length_c 7.086
_cell_angle_alpha 90.00
_cell_angle_beta 108.71
_cell_angle_gamma 90.00
_symmetry_space_group_name_H-M 'C 1 2/m 1'
_symmetry_Int_Tables_number 12
loop_
_symmetry_equiv_pos_as_xyz
'x,y,z'
'-x,-y,-z'
'-x,y,-z'
'x,-y,z'
'x+1/2,y+1/2,z'
'-x+1/2,-y+1/2,-z'
'-x+1/2,y+1/2,-z'
'x+1/2,-y+1/2,z'
loop_
_atom_site_label
_atom_site_fract_x
_atom_site_fract_y
_atom_site_fract_z
Dy1 0.233 0.000 0.240
Dy2 0.240 0.171 0.739
Pd1 0.000 0.000 0.500
Pd2 0.000 0.173 0.000
Pd3 0.000 0.344 0.500
Au1 0.000 0.500 0.000

No. 7
# CsSrAcBr6 (PBE, relaxed)
# uncorrected formation energy = -1762 kJ/mol of formula units
# total magnetization = 0.00 μB/atom
# mass density = 3.5 g/cm³
# volume = 48.5 Å³ per atom
data_CsSrAcBr6
_chemical_formula_sum 'Cs2 Sr2 Ac2 Br12'
_cell_length_a 8.0867
_cell_length_b 8.0867
_cell_length_c 15.4001
_cell_angle_alpha 90.00
_cell_angle_beta 90.00
_cell_angle_gamma 120.00
_symmetry_space_group_name_H-M 'P -3 1 c'
_symmetry_Int_Tables_number 163
_symmetry_space_group_name_Hall '-P 3 2c'
loop_
_atom_site_label
_atom_site_fract_x
_atom_site_fract_y
_atom_site_fract_z
Cs1 0.0000 0.0000 0.0000
Sr1 0.3333 0.6667 0.2500
Ac1 0.3333 0.6667 0.7500
Br1 0.0022 0.3760 0.6388

No. 8
# BaRe2Mo (PBE, relaxed)
# energy above the most stable polymorph in this dataset = 874 meV per atom
# energy of formation = 1641 meV per atom
# total magnetization = 0.04 μB/atom
# mass density = 12.7 g/cm³
# volume = 19.8 Å³ per atom
data_BaRe2Mo
_chemical_formula_sum 'Ba2 Re4 Mo2'
_cell_length_a 6.452
_cell_length_b 9.009
_cell_length_c 2.726
_cell_angle_alpha 90.00
_cell_angle_beta 90.00
_cell_angle_gamma 90.00
_symmetry_space_group_name_H-M 'C m m m'
_symmetry_Int_Tables_number 65
_symmetry_space_group_name_Hall '-C 2 2'
loop_
_atom_site_label
_atom_site_fract_x
_atom_site_fract_y
_atom_site_fract_z
Ba1 0.000 0.000 0.000
Re1 0.250 0.250 0.500
Mo1 0.000 0.500 0.000

No. 9
# Ta2BeIr (PBE, relaxed)
# energy of formation = -306 meV per atom
# total magnetization = 0.00 μB/atom
# mass density = 15.3 g/cm³
# volume = 15.2 Å³ per atom
data_Ta2BeIr
_chemical_formula_sum 'Ta4 Be2 Ir2'
_cell_length_a 3.815
_cell_length_b 3.048
_cell_length_c 10.483
_cell_angle_alpha 90.00
_cell_angle_beta 90.00
_cell_angle_gamma 90.00
_symmetry_space_group_name_H-M 'A m m 2'
_symmetry_Int_Tables_number 38
loop_
_symmetry_equiv_pos_as_xyz
'x,y,z'
'-x,-y,z'
'-x,y,z'
'x,-y,z'
'x,y+1/2,z+1/2'
'-x,-y+1/2,z+1/2'
'-x,y+1/2,z+1/2'
'x,-y+1/2,z+1/2'
loop_
_atom_site_label
_atom_site_fract_x
_atom_site_fract_y
_atom_site_fract_z
Ta1 0.000 0.000 0.000
Ta2 0.500 0.000 0.330
Be1 0.500 0.000 0.580
Ir1 0.000 0.000 0.720

No. 10
# ScNb3 (PBE, relaxed)
# energy above the most stable polymorph in this dataset = 32 meV per atom
# energy of formation = 174 meV per atom
# total magnetization = 0.00 μB/atom
# mass density = 7.0 g/cm³
# volume = 19.3 Å³ per atom
data_ScNb3
_chemical_formula_sum 'Sc1 Nb3'
_cell_length_a 2.781
_cell_length_b 4.951
_cell_length_c 5.605
_cell_angle_alpha 90.00
_cell_angle_beta 90.00
_cell_angle_gamma 90.00
_symmetry_space_group_name_H-M 'P m m 2'
_symmetry_Int_Tables_number 25
loop_
_symmetry_equiv_pos_as_xyz
'x,y,z'
'-x,-y,z'
'-x,y,z'
'x,-y,z'
loop_
_atom_site_label
_atom_site_fract_x
_atom_site_fract_y
_atom_site_fract_z
Sc1 0.000 0.000 0.000
Nb1 0.000 0.500 0.271
Nb2 0.500 0.000 0.507
Nb3 0.500 0.500 0.770

No. 11
# MnRuC3 (PBE, relaxed)
# energy above the most stable polymorph in this dataset = 0 meV per atom
# energy of formation = 2008 meV per atom
# total magnetization = 0.40 μB/atom
# mass density = 6.2 g/cm³
# volume = 10.3 Å³ per atom
data_MnRuC3
_chemical_formula_sum 'Mn1 Ru1 C3'
_cell_length_a 3.722
_cell_length_b 3.722
_cell_length_c 3.722
_cell_angle_alpha 90.00
_cell_angle_beta 90.00
_cell_angle_gamma 90.00
_symmetry_space_group_name_H-M 'P m -3 m'
_symmetry_Int_Tables_number 221
_symmetry_space_group_name_Hall '-P 4 2 3'
loop_
_atom_site_label
_atom_site_fract_x
_atom_site_fract_y
_atom_site_fract_z
Mn1 0.000 0.000 0.000
Ru1 0.500 0.500 0.500
C1 0.000 0.000 0.500

No. 12
# CrIn2C2 (PBE, relaxed)
# energy above the most stable polymorph in this dataset = 0 meV per atom
# energy of formation = 1148 meV per atom
# total magnetization = 0.00 μB/atom
# mass density = 6.8 g/cm³
# volume = 15.0 Å³ per atom
data_CrIn2C2
_chemical_formula_sum 'Cr2 In4 C4'
_cell_length_a 5.654
_cell_length_b 5.654
_cell_length_c 4.679
_cell_angle_alpha 90.00
_cell_angle_beta 90.00
_cell_angle_gamma 90.00
_symmetry_space_group_name_H-M 'P 4/m b m'
_symmetry_Int_Tables_number 127
_symmetry_space_group_name_Hall '-P 4 2ab'
loop_
_atom_site_label
_atom_site_fract_x
_atom_site_fract_y
_atom_site_fract_z
Cr1 0.000 0.000 0.000
In1 0.180 0.320 0.500
C1 0.246 0.254 0.000